Material: Mg2CoPt
Method: DFT, PBE
State: optimized geometry

Geometry as POSCAR:
```
Mg2CoPt
1.0
-2.147 2.804 -0.202
-0.700 -0.733 -2.733
-5.160 -4.005 -0.735
Co Mg Pt
1 2 1
direct
0.500 0.750 0.750
0.000 0.004 0.996
0.000 0.496 0.504
0.500 0.250 0.250
```

Summary:
Its total energy is -4.408 eV/atom. The value obtained for the total moment is 0.25 μB/atom. The calculation puts the formation energy at -0.32 eV/atom. As for the symmetry: P2/m. The calculated volume comes out at 15.16 Å³/atom. Its crystal system is monoclinic.